A relaxed structure of BeSnSCl2. Source: Alexandria, functional PBE.

a b c (Å): 5.2573 5.2573 5.0342
angles (deg): 90.00 90.00 90.00
Last column: nearest neighbours and their distance in Å.
Space group P4/mmm (No. 123)
Symmetry-distinct sites (fractional):
Be 0.0000 0.0000 0.0000 [1 per cell]  8 Cl 3.64, 4 S 3.72
Sn 0.5000 0.5000 0.5000 [1 per cell]  2 S 2.52, 4 Cl 2.63
S 0.5000 0.5000 0.0000 [1 per cell]  2 Sn 2.52
Cl 0.0000 0.5000 0.5000 [2 per cell]  2 Sn 2.63

Properties
DOS(E_F) (states/eV/cell): 1.44
Energy relative to the elements, uncorrected (kJ/mol of formula units): 131